1.
{
  "formula": "SmTmMgCo",
  "functional": "PBE",
  "state": "relaxed",
  "e_tot_ev_per_atom": -4.463,
  "polymorph_energy_mev_per_atom": 128,
  "mass_density_g_cm3": 7.385,
  "formation_energy_mev_per_atom": 10,
  "spacegroup": "F-43m",
  "magnetic_moment_mub_per_cell": 0.3,
  "lattice_angstrom": [[5.040, 0.000, 0.000], [2.520, 4.364, 0.000], [2.520, 1.455, 4.115]],
  "species": ["Mg", "Tm", "Co", "Sm"],
  "frac_coords": [[0.000, 0.000, 0.000], [0.250, 0.250, 0.250], [0.500, 0.500, 0.500], [0.750, 0.750, 0.750]]
}

***

2.
{
  "formula": "SmTmMgCo",
  "functional": "PBE",
  "state": "relaxed",
  "e_tot_ev_per_atom": -4.591,
  "polymorph_energy_mev_per_atom": 0,
  "mass_density_g_cm3": 7.103,
  "formation_energy_mev_per_atom": -118,
  "spacegroup": "P4mm",
  "magnetic_moment_mub_per_cell": 0.8,
  "lattice_angstrom": [[3.408, 0.000, 0.000], [0.000, 3.408, 0.000], [0.000, 0.000, 8.103]],
  "species": ["Sm", "Tm", "Mg", "Co"],
  "frac_coords": [[0.500, 0.500, 0.773], [0.500, 0.500, 0.371], [0.000, 0.000, 0.081], [0.000, 0.000, 0.559]]
}

***

3.
{
  "formula": "SmYMgCo",
  "functional": "PBE",
  "state": "relaxed",
  "e_tot_ev_per_atom": -5.068,
  "polymorph_energy_mev_per_atom": 0,
  "mass_density_g_cm3": 5.545,
  "formation_energy_mev_per_atom": -97,
  "spacegroup": "P4mm",
  "magnetic_moment_mub_per_cell": 0.8,
  "lattice_angstrom": [[-1.384, -0.120, -3.159], [3.086, -0.795, -1.322], [-1.603, -7.889, 1.001]],
  "species": ["Sm", "Y", "Mg", "Co"],
  "frac_coords": [[0.500, 0.500, 0.774], [0.500, 0.500, 0.368], [0.000, 0.000, 0.076], [0.000, 0.000, 0.566]]
}

***

4.
{
  "formula": "SmYMgCo",
  "functional": "PBE",
  "state": "relaxed",
  "e_tot_ev_per_atom": -4.951,
  "polymorph_energy_mev_per_atom": 116,
  "mass_density_g_cm3": 5.757,
  "formation_energy_mev_per_atom": 20,
  "spacegroup": "F-43m",
  "magnetic_moment_mub_per_cell": 0.3,
  "lattice_angstrom": [[5.086, 0.000, 0.000], [2.543, 4.405, 0.000], [2.543, 1.468, 4.153]],
  "species": ["Y", "Mg", "Co", "Sm"],
  "frac_coords": [[0.750, 0.750, 0.750], [0.000, 0.000, 0.000], [0.500, 0.500, 0.500], [0.250, 0.250, 0.250]]
}

***

5.
{
  "formula": "Mg2CoSn2",
  "functional": "PBE",
  "state": "relaxed",
  "e_tot_ev_per_atom": -3.625,
  "polymorph_energy_mev_per_atom": 116,
  "mass_density_g_cm3": 5.470,
  "formation_energy_mev_per_atom": 35,
  "spacegroup": "P4/mbm",
  "magnetic_moment_mub_per_cell": 0.2,
  "lattice_angstrom": [[6.787, 0.000, 0.000], [0.000, 6.787, 0.000], [0.000, 0.000, 4.546]],
  "species": ["Mg", "Mg", "Mg", "Mg", "Co", "Co", "Sn", "Sn", "Sn", "Sn"],
  "frac_coords": [[0.165, 0.665, 0.500], [0.665, 0.835, 0.500], [0.835, 0.335, 0.500], [0.335, 0.165, 0.500], [0.000, 0.000, 0.000], [0.500, 0.500, 0.000], [0.347, 0.847, 0.000], [0.847, 0.653, 0.000], [0.653, 0.153, 0.000], [0.153, 0.347, 0.000]]
}

***

6.
{
  "formula": "Mg4CoSn",
  "functional": "PBE",
  "state": "relaxed",
  "e_tot_ev_per_atom": -2.984,
  "mass_density_g_cm3": 3.674,
  "formation_energy_mev_per_atom": -70,
  "spacegroup": "C2/m",
  "magnetic_moment_mub_per_cell": 1.4,
  "lattice_angstrom": [[4.874, 0.002, -1.201], [-0.621, 6.833, -2.508], [-0.597, -1.021, 8.005]],
  "species": ["Mg", "Mg", "Mg", "Mg", "Mg", "Mg", "Mg", "Mg", "Co", "Co", "Sn", "Sn"],
  "frac_coords": [[0.830, 0.330, 0.659], [0.626, 0.385, 0.254], [0.000, 0.206, 0.000], [0.374, 0.132, 0.746], [0.170, 0.670, 0.341], [0.374, 0.615, 0.746], [0.000, 0.794, 0.000], [0.626, 0.868, 0.254], [0.726, 0.500, 0.000], [0.274, 0.500, 0.000], [0.189, 0.188, 0.377], [0.811, 0.812, 0.623]]
}